(1)
PBE-GGA PrI4, optimized geometry; raw total energy = -31.8 eV for the cell shown
1.0
7.549 -4.442 0.000
7.549 4.442 0.000
-7.399 0.000 7.681
Pr I
2 8
Direct
0.241 0.759 0.000
0.759 0.241 0.000
0.157 0.791 0.682
0.209 0.843 0.318
0.214 0.214 0.192
0.306 0.306 0.842
0.694 0.694 0.158
0.786 0.786 0.808
0.791 0.157 0.682
0.843 0.209 0.318

(2)
PBE-GGA Hf4O5, optimized geometry; raw total energy = -83.4 eV for the cell shown
1.0
4.002 0.000 0.000
0.000 4.002 0.000
0.000 0.000 7.126
Hf O
4 5
Direct
0.000 0.000 0.000
0.000 0.000 0.500
0.500 0.500 0.215
0.500 0.500 0.785
0.000 0.500 0.289
0.000 0.500 0.711
0.500 0.000 0.289
0.500 0.000 0.711
0.500 0.500 0.500